# 1
Be3TlSe: relaxed, GGA-PBE.

```
Be3TlSe
1.0
4.6029 0.0000 0.0000
0.0000 4.6029 0.0000
0.0000 0.0000 4.6029
Be Tl Se
3 1 1
Direct
0.0000 0.5000 0.0000
0.0000 0.0000 0.5000
0.5000 0.0000 0.0000
0.0000 0.0000 0.0000
0.5000 0.5000 0.5000
```

Summary:
Total magnetic moment (μB per atom): 0.00
Energy above the lowest structure with this stoichiometry (eV per atom): 0.200
Energy (Ha/atom): -0.08461



# 2
TiSi2F: relaxed, GGA-PBE.

```
TiSi2F
1.0
0.7881 -3.5506 2.4182
-3.1997 -1.7697 2.3886
-1.7109 -3.8501 -1.1512
Si F Ti
2 1 1
Direct
0.2500 0.2500 0.2500
0.7500 0.7500 0.7500
0.0000 0.0000 0.0000
0.5000 0.5000 0.5000
```

Summary:
Total magnetic moment (μB per atom): 0.00
Energy above the lowest structure with this stoichiometry (eV per atom): 0.225
Energy (Ha/atom): -0.19400



# 3
Pu2ThIn2Hg2: relaxed, GGA-PBE.

```
Pu2ThIn2Hg2
1.0
-0.5265 -4.5343 -0.5394
3.9606 2.2804 -3.4506
3.9830 -1.2404 6.5390
Pu Th In Hg
2 1 2 2
Direct
0.1238 0.2477 0.4324
0.8762 0.7523 0.5676
0.0000 0.0000 0.0000
0.6043 0.2087 0.7352
0.3957 0.7913 0.2648
0.7072 0.4144 0.1589
0.2928 0.5856 0.8411
```

Summary:
Total magnetic moment (μB per atom): 1.74
Energy (Ha/atom): -0.22667



# 4
LiPr4Au7: relaxed, GGA-PBE.

```
LiPr4Au7
1.0
4.9223 0.0000 0.0000
2.4612 8.4077 1.1461
2.4612 1.3475 7.3710
Li Pr Au
1 4 7
Direct
0.0000 0.0000 0.0000
0.5626 0.2493 0.6255
0.4374 0.7507 0.3745
0.7261 0.7425 0.8054
0.2739 0.2575 0.1946
0.8109 0.9906 0.3876
0.1891 0.0094 0.6124
0.1012 0.6576 0.1400
0.8988 0.3424 0.8600
0.3368 0.5404 0.7860
0.5000 0.0000 0.0000
0.6632 0.4596 0.2140
```

Summary:
Total magnetic moment (μB per atom): 0.00
Energy (Ha/atom): -0.15916



# 5
In: relaxed, GGA-PBE.

```
In
1.0
3.3404 0.0345 0.1226
1.6263 2.9005 -0.0294
0.3684 -0.1427 5.6828
In
2
Direct
0.3401 0.8285 0.7500
0.6599 0.1715 0.2500
```

Summary:
Total magnetic moment (μB per atom): 0.00
Energy above the lowest structure with this stoichiometry (eV per atom): 0.010
Energy (Ha/atom): -0.10027



# 6
MnSeN: relaxed, GGA-PBE.

```
MnSeN
1.0
-0.6569 -2.1233 -2.8794
6.2959 2.0640 -2.9582
5.2894 -8.4806 5.0469
Mn Se N
4 4 4
Direct
0.7500 0.3764 0.4047
0.2500 0.1236 0.5953
0.2500 0.6236 0.5953
0.7500 0.8764 0.4047
0.7498 0.3728 0.6427
0.2498 0.1272 0.3573
0.2502 0.6272 0.3573
0.7502 0.8728 0.6427
0.4499 0.0463 0.9635
0.9499 0.4537 0.0365
0.5501 0.9537 0.0365
0.0501 0.5463 0.9635
```

Summary:
Total magnetic moment (μB per atom): 1.51
Energy (Ha/atom): -0.26388



# 7
BaNiS: relaxed, GGA-PBE.

```
BaNiS
1.0
4.6027 -2.6574 0.0000
0.0000 5.3147 0.0000
0.0000 0.0000 8.2757
Ni S Ba
2 2 2
Direct
0.0000 0.0000 0.0000
0.0000 0.0000 0.5000
0.0000 0.0000 0.2500
0.0000 0.0000 0.7500
0.3333 0.6667 0.2500
0.6667 0.3333 0.7500
```

Summary:
Total magnetic moment (μB per atom): 0.00
Energy (Ha/atom): -0.17584



# 8
Th3Co4P4: relaxed, GGA-PBE.

```
Th3Co4P4
1.0
-2.6340 2.5388 -1.5741
-1.6109 -2.9611 -2.0800
-9.4005 -2.3666 6.8740
Th Co P
3 4 4
Direct
0.1501 0.6498 0.7001
0.8499 0.3503 0.2999
0.0000 0.0000 0.0000
0.5955 0.0955 0.8089
0.2489 0.2488 0.5023
0.7511 0.7512 0.4977
0.4045 0.9045 0.1911
0.5535 0.5532 0.8936
0.4466 0.4468 0.1064
0.3029 0.8030 0.3940
0.6971 0.1970 0.6060
```

Summary:
Total magnetic moment (μB per atom): 0.11
Energy (Ha/atom): -0.28223



# 9
Sm2AlZnPt6: relaxed, GGA-PBE.

```
Sm2AlZnPt6
1.0
8.1100 -0.0336 1.7998
0.0134 5.6202 0.0446
5.2894 2.7515 5.7842
Sm Al Zn Pt
2 1 1 6
Direct
0.2956 0.7045 0.5910
0.7044 0.2955 0.4090
0.5000 0.5000 0.0000
0.0000 0.0000 0.0000
0.2501 0.7496 0.0052
0.7498 0.7549 0.9948
0.2452 0.2503 0.4995
0.7499 0.2504 0.9948
0.2502 0.2451 0.0052
0.7548 0.7497 0.5005
```

Summary:
Total magnetic moment (μB per atom): 0.00
Energy (Ha/atom): -0.21635



# 10
TcAu2: relaxed, GGA-PBE.

```
TcAu2
1.0
-2.6704 4.1725 -0.8896
-4.9830 -0.0169 0.7084
4.5934 -0.5837 1.9729
Au Tc
2 1
Direct
0.9964 0.9964 0.0000
0.6703 0.6703 0.0000
0.3333 0.3333 0.0000
```

Summary:
Total magnetic moment (μB per atom): 0.59
Energy above the lowest structure with this stoichiometry (eV per atom): 0.167
Energy (Ha/atom): -0.19122



# 11
SbPSe: relaxed, GGA-PBE.

```
SbPSe
1.0
-3.3450 -2.4244 0.9750
2.8478 -2.0096 4.7732
-6.1133 11.9200 8.6658
Sb Se P
4 4 4
Direct
0.2500 0.1454 0.0956
0.7500 0.8546 0.9044
0.7500 0.8546 0.5956
0.2500 0.1454 0.4044
0.2500 0.7435 0.0286
0.7500 0.2565 0.9714
0.7500 0.2565 0.5286
0.2500 0.7435 0.4714
0.2500 0.0131 0.8139
0.7500 0.9869 0.1861
0.7500 0.9869 0.3139
0.2500 0.0131 0.6861
```

Summary:
Total magnetic moment (μB per atom): 0.00
Energy above the lowest structure with this stoichiometry (eV per atom): 0.114
Energy (Ha/atom): -0.15572



# 12
Pr4ZnI2Cl: relaxed, GGA-PBE.

```
Pr4ZnI2Cl
1.0
4.3542 0.0000 0.0000
0.0000 7.0905 -0.0241
0.0000 -2.6455 7.9280
Pr Zn I Cl
4 1 2 1
Direct
0.5000 0.2268 0.1999
0.5000 0.7732 0.8001
0.0000 0.2634 0.7967
0.0000 0.7366 0.2033
0.5000 0.5000 0.0000
0.5000 0.0000 0.5000
0.0000 0.5000 0.5000
0.0000 0.0000 0.0000
```

Summary:
Total magnetic moment (μB per atom): 0.00
Energy (Ha/atom): -0.14856



# 13
As2IrSF: relaxed, GGA-PBE.

```
As2IrSF
1.0
-3.8422 -2.5983 0.3039
2.0448 -3.2109 -1.6013
1.2438 -1.3393 4.2738
As Ir S F
2 1 1 1
Direct
0.0000 0.0000 0.5000
0.5000 0.0000 0.0000
0.0000 0.5000 0.0000
0.5000 0.5000 0.5000
0.0000 0.0000 0.0000
```

Summary:
Total magnetic moment (μB per atom): 0.00
Energy (Ha/atom): -0.14355



# 14
DyZr2Ti: relaxed, GGA-PBE.

```
DyZr2Ti
1.0
-0.1768 -0.3115 3.1882
-2.4545 -1.5869 1.3231
4.5732 -9.5363 0.9362
Ti Zr Dy
1 2 1
Direct
0.0000 0.0000 0.0000
0.7428 0.7428 0.7715
0.2572 0.2572 0.2285
0.5000 0.5000 0.5000
```

Summary:
Total magnetic moment (μB per atom): 0.00
Energy above the lowest structure with this stoichiometry (eV per atom): 0.037
Energy (Ha/atom): -0.26592



# 15
KHg2PRu: relaxed, GGA-PBE.

```
KHg2PRu
1.0
-0.2697 2.1363 -5.4436
-5.6209 0.9375 0.6464
1.1306 5.3656 2.0497
Ru K Hg P
1 1 2 1
Direct
0.5000 0.5000 0.5000
0.0000 0.0000 0.0000
0.0000 0.0000 0.5000
0.5000 0.0000 0.0000
0.0000 0.5000 0.0000
```

Summary:
Total magnetic moment (μB per atom): 0.87
Energy above the lowest structure with this stoichiometry (eV per atom): 0.668
Energy (Ha/atom): -0.05653



# 16
Al5Sn3O12: relaxed, GGA-PBE.

```
Al5Sn3O12
1.0
10.5590 0.0000 0.0000
-3.5197 9.9551 0.0000
-3.5197 -4.9776 8.6214
Sn Al O
12 20 48
Direct
0.7500 0.3750 0.1250
0.8750 0.7500 0.1250
0.3750 0.7500 0.6250
0.2500 0.1250 0.3750
0.8750 0.1250 0.2500
0.3750 0.6250 0.2500
0.6250 0.3750 0.7500
0.1250 0.8750 0.7500
0.7500 0.8750 0.6250
0.6250 0.2500 0.3750
0.1250 0.2500 0.8750
0.2500 0.6250 0.8750
0.1250 0.3750 0.2500
0.0000 0.5000 0.0000
0.0000 0.0000 0.0000
0.3750 0.2500 0.1250
0.5000 0.0000 0.5000
0.5000 0.5000 0.0000
0.1250 0.7500 0.3750
0.7500 0.1250 0.8750
0.7500 0.6250 0.3750
0.3750 0.1250 0.7500
0.6250 0.8750 0.2500
0.5000 0.5000 0.5000
0.5000 0.0000 0.0000
0.0000 0.0000 0.5000
0.2500 0.3750 0.6250
0.2500 0.8750 0.1250
0.0000 0.5000 0.5000
0.8750 0.2500 0.6250
0.6250 0.7500 0.8750
0.8750 0.6250 0.7500
0.6956 0.1179 0.0169
0.3212 0.5169 0.3990
0.9831 0.3821 0.3044
0.5169 0.1956 0.1179
0.5778 0.6956 0.6788
0.9831 0.6010 0.1788
0.3212 0.8044 0.4222
0.1010 0.9222 0.1179
0.6010 0.9831 0.6788
0.6956 0.5778 0.1788
0.8044 0.4831 0.3821
0.8212 0.8990 0.0169
0.1179 0.6956 0.5169
0.3821 0.3990 0.0778
0.0778 0.8990 0.3821
0.4222 0.1179 0.6010
0.0778 0.1788 0.1956
0.4831 0.6788 0.1010
0.8212 0.9222 0.3044
0.1179 0.4222 0.1010
0.3821 0.9831 0.8044
0.6010 0.6179 0.4222
0.8990 0.8212 0.5169
0.8044 0.3212 0.9222
0.3990 0.3821 0.5778
0.1010 0.1788 0.4831
0.1956 0.6788 0.0778
0.1788 0.0778 0.6956
0.6179 0.0169 0.1956
0.8821 0.5778 0.8990
0.5169 0.3212 0.8990
0.5778 0.8821 0.3990
0.9222 0.8212 0.8044
0.9222 0.1010 0.6179
0.8821 0.3044 0.4831
0.1788 0.1010 0.9831
0.6179 0.6010 0.9222
0.3990 0.0169 0.3212
0.3044 0.4222 0.8212
0.1956 0.5169 0.6179
0.8990 0.0778 0.8821
0.6788 0.1956 0.5778
0.4831 0.8044 0.8821
0.0169 0.3990 0.8212
0.4222 0.3044 0.3212
0.0169 0.6179 0.6956
0.6788 0.4831 0.6010
0.3044 0.8821 0.9831
```

Summary:
Total magnetic moment (μB per atom): 0.00
Energy (Ha/atom): -0.24854



# 17
Rb2TeOsBr6: relaxed, GGA-PBE.

```
Rb2TeOsBr6
1.0
8.1398 0.0000 0.0000
0.0000 8.1398 0.0000
4.0699 4.0699 5.4469
Te Os Br Rb
1 1 6 2
Direct
0.5000 0.5000 0.0000
0.0000 0.0000 0.0000
0.2349 0.2349 0.5301
0.7651 0.7651 0.4699
0.2205 0.2205 0.0000
0.7795 0.7795 0.0000
0.7795 0.2205 0.0000
0.2205 0.7795 0.0000
0.7500 0.2500 0.5000
0.2500 0.7500 0.5000
```

Summary:
Total magnetic moment (μB per atom): 0.21
Energy (Ha/atom): -0.11807



# 18
Li2HgSe: relaxed, GGA-PBE.

```
Li2HgSe
1.0
-2.2938 -3.4118 1.8215
-1.5733 -1.1080 -4.0641
2.8768 -2.2086 -0.5124
Hg Li Se
1 2 1
Direct
0.0000 0.5000 0.5000
0.0000 0.0000 0.0000
0.5000 0.5000 0.0000
0.5000 0.0000 0.5000
```

Summary:
Total magnetic moment (μB per atom): 0.00
Energy above the lowest structure with this stoichiometry (eV per atom): 0.169
Energy (Ha/atom): -0.09358



# 19
Rb3Se: relaxed, GGA-PBE.

```
Rb3Se
1.0
-2.0320 3.1272 -2.9057
-0.4877 -5.9798 -6.0946
-4.4699 -0.2984 6.6509
Se Rb
1 3
Direct
0.0000 0.0515 0.0000
0.3422 0.7361 0.6844
0.5000 0.3274 0.0000
0.6578 0.0517 0.3156
```

Summary:
Total magnetic moment (μB per atom): 0.00
Energy above the lowest structure with this stoichiometry (eV per atom): 0.000
Energy (Ha/atom): -0.08306



# 20
Er2Tm3Ir2: relaxed, GGA-PBE.

```
Er2Tm3Ir2
1.0
-0.9005 0.2792 3.7040
1.9748 -5.8017 -1.0545
6.3393 5.8364 1.1013
Er Tm Ir
2 3 2
Direct
0.8340 0.6680 0.1928
0.1660 0.3320 0.8072
0.5000 0.0000 0.0000
0.6194 0.2388 0.4319
0.3806 0.7612 0.5681
0.8241 0.6482 0.7663
0.1759 0.3518 0.2337
```

Summary:
Total magnetic moment (μB per atom): 0.00
Energy (Ha/atom): -0.23621